Entry from Alexandria via LeMat-Bulk: a relaxed ScSi2Tc crystal (PBE).

Geometry as CIF:
```
data_ScSi2Tc
_chemical_formula_sum 'Sc12 Si24 Tc12'
_cell_length_a 5.2087
_cell_length_b 8.1304
_cell_length_c 17.7633
_cell_angle_alpha 90.00
_cell_angle_beta 90.00
_cell_angle_gamma 90.00
_space_group_name_H-M_alt 'I m m m'
_space_group_IT_number 71
_space_group_name_Hall '-I 2 2'
loop_
_atom_site_label
_atom_site_type_symbol
_atom_site_fract_x
_atom_site_fract_y
_atom_site_fract_z
Sc1 Sc 0.0000 0.0000 0.1402
Sc2 Sc 0.0000 0.2574 0.4077
Si1 Si 0.0000 0.0000 0.3014
Si2 Si 0.0000 0.3538 0.1347
Si3 Si 0.0000 0.5000 0.2979
Si4 Si 0.2335 0.0000 0.5000
Si5 Si 0.2355 0.5000 0.5000
Tc1 Tc 0.0000 0.2500 0.0000
Tc2 Tc 0.2500 0.2500 0.2500
```

Summary:
calculated total energy = -7.593 eV/atom
raw formation energy = -0.71 eV per atom
spin magnetization = 0.00 μB per cell
relative energy among the computed polymorphs = 0.0000 eV per atom

Entry from Alexandria via LeMat-Bulk: a relaxed ZrAl2Ru2 crystal (PBE).

Geometry as CIF:
```
data_ZrAl2Ru2
_chemical_formula_sum 'Zr2 Al4 Ru4'
_cell_length_a 7.2197
_cell_length_b 7.2197
_cell_length_c 3.0348
_cell_angle_alpha 90.00
_cell_angle_beta 90.00
_cell_angle_gamma 90.00
_space_group_name_H-M_alt 'P 4/m b m'
_space_group_IT_number 127
_space_group_name_Hall '-P 4 2ab'
loop_
_atom_site_label
_atom_site_type_symbol
_atom_site_fract_x
_atom_site_fract_y
_atom_site_fract_z
Zr1 Zr 0.0000 0.0000 0.0000
Al1 Al 0.1416 0.3584 0.5000
Ru1 Ru 0.1530 0.6530 0.0000
```

Summary:
calculated total energy = -7.481 eV/atom
spin magnetization = 0.00 μB per cell
relative energy among the computed polymorphs = 0.0000 eV per atom
formation energy from the elements = -564 meV per atom

Entry from Alexandria via LeMat-Bulk: a relaxed HoB2Ru4 crystal (PBE).

Geometry as CIF:
```
data_HoB2Ru4
_chemical_formula_sum 'Ho2 B4 Ru8'
_cell_length_a 3.7812
_cell_length_b 13.0585
_cell_length_c 3.7731
_cell_angle_alpha 90.00
_cell_angle_beta 90.00
_cell_angle_gamma 90.00
_space_group_name_H-M_alt 'C m m m'
_space_group_IT_number 65
_space_group_name_Hall '-C 2 2'
loop_
_atom_site_label
_atom_site_type_symbol
_atom_site_fract_x
_atom_site_fract_y
_atom_site_fract_z
Ho1 Ho 0.0000 0.0000 0.0000
B1 B 0.0000 0.4274 0.5000
Ru1 Ru 0.0000 0.1768 0.5000
Ru2 Ru 0.0000 0.3181 0.0000
```

Summary:
calculated total energy = -8.165 eV/atom
spin magnetization = 0.00 μB per cell
formation energy from the elements = -303 meV per atom

Entry from Alexandria via LeMat-Bulk: a relaxed ErTm3As4 crystal (PBE).

Geometry as CIF:
```
data_ErTm3As4
_chemical_formula_sum 'Er2 Tm6 As8'
_cell_length_a 8.1351
_cell_length_b 11.5029
_cell_length_c 4.0688
_cell_angle_alpha 90.00
_cell_angle_beta 90.00
_cell_angle_gamma 90.00
_space_group_name_H-M_alt 'C m m m'
_space_group_IT_number 65
_space_group_name_Hall '-C 2 2'
loop_
_atom_site_label
_atom_site_type_symbol
_atom_site_fract_x
_atom_site_fract_y
_atom_site_fract_z
Er1 Er 0.0000 0.0000 0.0000
Tm1 Tm 0.0000 0.5000 0.0000
Tm2 Tm 0.2500 0.2500 0.5000
As1 As 0.0000 0.2504 0.0000
As2 As 0.2491 0.5000 0.5000
```

Summary:
calculated total energy = -6.082 eV/atom
spin magnetization = 0.00 μB per cell
relative energy among the computed polymorphs = 0.0035 eV per atom
formation energy from the elements = -1510 meV per atom